A plane-wave DFT calculation with PBE was carried out for a relaxed structure of ZnCd2Fe.

Cell lengths 4.073, 4.073, 8.285 Å; angles 90.00, 90.00, 90.00 degrees
Fractional positions:
Zn: 0.000 0.000 0.000
Zn: 0.500 0.500 0.500
Cd: 0.000 0.500 0.250
Cd: 0.000 0.500 0.750
Cd: 0.500 0.000 0.250
Cd: 0.500 0.000 0.750
Fe: 0.000 0.000 0.500
Fe: 0.500 0.500 0.000

Values from the calculation:
As for the formation energy: 0.294 eV/atom. The final energy comes out at -2.597 eV/atom.


A plane-wave DFT calculation with PBE was carried out for a relaxed structure of Zn2CdFe.

Cell lengths 9.254, 2.776, 4.915 Å; angles 90.00, 102.02, 90.00 degrees
Fractional positions:
Zn: 0.000 0.000 0.000
Zn: 0.246 0.500 0.249
Zn: 0.500 0.500 0.000
Zn: 0.746 0.000 0.249
Cd: 0.005 0.500 0.516
Cd: 0.505 0.000 0.516
Fe: 0.262 0.000 0.787
Fe: 0.762 0.500 0.787

Values from the calculation:
As for the formation energy: 0.192 eV/atom. The final energy comes out at -2.790 eV/atom.


A plane-wave DFT calculation with PBE was carried out for a relaxed structure of ZnCd2Fe.

Cell lengths 2.818, 4.125, 13.329 Å; angles 90.00, 90.00, 90.00 degrees
Fractional positions:
Zn: 0.000 0.000 0.000
Zn: 0.500 0.500 0.500
Cd: 0.000 0.500 0.178
Cd: 0.000 0.500 0.822
Cd: 0.500 0.000 0.322
Cd: 0.500 0.000 0.678
Fe: 0.000 0.000 0.500
Fe: 0.500 0.500 0.000

Values from the calculation:
As for the formation energy: 0.213 eV/atom. The final energy comes out at -2.679 eV/atom.


A plane-wave DFT calculation with PBE was carried out for a relaxed structure of Zn2CdFe.

Cell lengths 3.949, 3.949, 3.890 Å; angles 90.00, 90.00, 90.00 degrees
Fractional positions:
Zn: 0.000 0.500 0.000
Zn: 0.500 0.000 0.000
Cd: 0.000 0.000 0.500
Fe: 0.500 0.500 0.500

Values from the calculation:
As for the formation energy: 0.138 eV/atom. The final energy comes out at -2.844 eV/atom.


A plane-wave DFT calculation with PBE was carried out for a relaxed structure of Zn2CdFe.

Cell lengths 2.793, 3.790, 5.849 Å; angles 90.00, 90.00, 90.00 degrees
Fractional positions:
Zn: 0.000 0.000 0.000
Zn: 0.500 0.500 0.242
Cd: 0.000 0.000 0.526
Fe: 0.500 0.500 0.798

Values from the calculation:
As for the formation energy: 0.181 eV/atom. The final energy comes out at -2.801 eV/atom.


A plane-wave DFT calculation with PBE was carried out for a relaxed structure of Zn2CdFe.

Cell lengths 3.934, 3.934, 7.948 Å; angles 90.00, 90.00, 90.00 degrees
Fractional positions:
Zn: 0.000 0.500 0.250
Zn: 0.000 0.500 0.750
Zn: 0.500 0.000 0.250
Zn: 0.500 0.000 0.750
Cd: 0.000 0.000 0.000
Cd: 0.500 0.500 0.500
Fe: 0.000 0.000 0.500
Fe: 0.500 0.500 0.000

Values from the calculation:
As for the formation energy: 0.227 eV/atom. The final energy comes out at -2.754 eV/atom.


A plane-wave DFT calculation with PBE was carried out for a relaxed structure of Zn2CdFe.

Cell lengths 2.854, 4.691, 9.392 Å; angles 90.00, 90.00, 90.00 degrees
Fractional positions:
Zn: 0.000 0.000 0.225
Zn: 0.000 0.000 0.775
Zn: 0.500 0.500 0.275
Zn: 0.500 0.500 0.725
Cd: 0.000 0.500 0.000
Cd: 0.500 0.000 0.500
Fe: 0.000 0.500 0.500
Fe: 0.500 0.000 0.000

Values from the calculation:
As for the formation energy: 0.181 eV/atom. The final energy comes out at -2.800 eV/atom.


A plane-wave DFT calculation with PBE was carried out for a relaxed structure of ZnCdFe.

Cell lengths 6.087, 6.087, 6.087 Å; angles 90.00, 90.00, 90.00 degrees
Fractional positions:
Zn: 0.000 0.000 0.000
Zn: 0.000 0.500 0.500
Zn: 0.500 0.000 0.500
Zn: 0.500 0.500 0.000
Cd: 0.000 0.000 0.500
Cd: 0.000 0.500 0.000
Cd: 0.500 0.000 0.000
Cd: 0.500 0.500 0.500
Fe: 0.250 0.250 0.750
Fe: 0.250 0.750 0.250
Fe: 0.750 0.250 0.250
Fe: 0.750 0.750 0.750

Values from the calculation:
As for the formation energy: 0.518 eV/atom. The final energy comes out at -3.033 eV/atom.


A plane-wave DFT calculation with PBE was carried out for a relaxed structure of Zn2CdFe2.

Cell lengths 7.364, 7.364, 2.726 Å; angles 90.00, 90.00, 90.00 degrees
Fractional positions:
Zn: 0.179 0.321 0.000
Zn: 0.321 0.821 0.000
Zn: 0.679 0.179 0.000
Zn: 0.821 0.679 0.000
Cd: 0.000 0.000 0.500
Cd: 0.500 0.500 0.500
Fe: 0.114 0.614 0.500
Fe: 0.386 0.114 0.500
Fe: 0.614 0.886 0.500
Fe: 0.886 0.386 0.500

Values from the calculation:
As for the formation energy: 0.191 eV/atom. The final energy comes out at -3.887 eV/atom.


A plane-wave DFT calculation with PBE was carried out for a relaxed structure of Zn2CdFe2.

Cell lengths 7.165, 7.165, 2.874 Å; angles 90.00, 90.00, 90.00 degrees
Fractional positions:
Zn: 0.126 0.374 0.000
Zn: 0.374 0.874 0.000
Zn: 0.626 0.126 0.000
Zn: 0.874 0.626 0.000
Cd: 0.000 0.000 0.000
Cd: 0.500 0.500 0.000
Fe: 0.170 0.670 0.500
Fe: 0.330 0.170 0.500
Fe: 0.670 0.830 0.500
Fe: 0.830 0.330 0.500

Values from the calculation:
As for the formation energy: 0.236 eV/atom. The final energy comes out at -3.842 eV/atom.


A plane-wave DFT calculation with PBE was carried out for a relaxed structure of Zn2CdFe.

Cell lengths 3.833, 3.833, 8.366 Å; angles 90.00, 90.00, 90.00 degrees
Fractional positions:
Zn: 0.000 0.000 0.000
Zn: 0.000 0.500 0.250
Zn: 0.500 0.000 0.750
Zn: 0.500 0.500 0.500
Cd: 0.000 0.500 0.750
Cd: 0.500 0.000 0.250
Fe: 0.000 0.000 0.500
Fe: 0.500 0.500 0.000

Values from the calculation:
As for the formation energy: 0.214 eV/atom. The final energy comes out at -2.767 eV/atom.


A plane-wave DFT calculation with PBE was carried out for a relaxed structure of ZnCd2Fe.

Cell lengths 4.053, 4.053, 8.354 Å; angles 90.00, 90.00, 90.00 degrees
Fractional positions:
Zn: 0.000 0.000 0.000
Zn: 0.500 0.500 0.500
Cd: 0.000 0.000 0.500
Cd: 0.000 0.500 0.750
Cd: 0.500 0.000 0.250
Cd: 0.500 0.500 0.000
Fe: 0.000 0.500 0.250
Fe: 0.500 0.000 0.750

Values from the calculation:
As for the formation energy: 0.295 eV/atom. The final energy comes out at -2.596 eV/atom.


A plane-wave DFT calculation with PBE was carried out for a relaxed structure of Zn2CdFe.

Cell lengths 5.575, 7.953, 2.779 Å; angles 90.00, 90.00, 90.00 degrees
Fractional positions:
Zn: 0.250 0.250 0.000
Zn: 0.250 0.750 0.000
Zn: 0.750 0.250 0.000
Zn: 0.750 0.750 0.000
Cd: 0.000 0.000 0.500
Cd: 0.500 0.500 0.500
Fe: 0.000 0.500 0.500
Fe: 0.500 0.000 0.500

Values from the calculation:
As for the formation energy: 0.174 eV/atom. The final energy comes out at -2.807 eV/atom.


A plane-wave DFT calculation with PBE was carried out for a relaxed structure of Zn2CdFe.

Cell lengths 6.280, 6.280, 6.280 Å; angles 90.00, 90.00, 90.00 degrees
Fractional positions:
Zn: 0.000 0.000 0.000
Zn: 0.000 0.500 0.500
Zn: 0.250 0.250 0.250
Zn: 0.250 0.750 0.750
Zn: 0.500 0.000 0.500
Zn: 0.500 0.500 0.000
Zn: 0.750 0.250 0.750
Zn: 0.750 0.750 0.250
Cd: 0.250 0.250 0.750
Cd: 0.250 0.750 0.250
Cd: 0.750 0.250 0.250
Cd: 0.750 0.750 0.750
Fe: 0.000 0.000 0.500
Fe: 0.000 0.500 0.000
Fe: 0.500 0.000 0.000
Fe: 0.500 0.500 0.500

Values from the calculation:
As for the formation energy: 0.260 eV/atom. The final energy comes out at -2.721 eV/atom.


A plane-wave DFT calculation with PBE was carried out for a relaxed structure of Zn3CdFe.

Cell lengths 4.662, 4.662, 4.662 Å; angles 90.00, 90.00, 90.00 degrees
Fractional positions:
Zn: 0.000 0.000 0.500
Zn: 0.000 0.500 0.000
Zn: 0.500 0.000 0.000
Cd: 0.500 0.500 0.500
Fe: 0.000 0.000 0.000

Values from the calculation:
As for the formation energy: 0.493 eV/atom. The final energy comes out at -2.147 eV/atom.


A plane-wave DFT calculation with PBE was carried out for a relaxed structure of Zn2CdFe2.

Cell lengths 3.467, 3.467, 13.154 Å; angles 90.00, 90.00, 90.00 degrees
Fractional positions:
Zn: 0.000 0.000 0.106
Zn: 0.000 0.000 0.894
Zn: 0.500 0.500 0.394
Zn: 0.500 0.500 0.606
Cd: 0.000 0.000 0.500
Cd: 0.500 0.500 0.000
Fe: 0.000 0.500 0.250
Fe: 0.000 0.500 0.750
Fe: 0.500 0.000 0.250
Fe: 0.500 0.000 0.750

Values from the calculation:
As for the formation energy: 0.321 eV/atom. The final energy comes out at -3.756 eV/atom.


A plane-wave DFT calculation with PBE was carried out for a relaxed structure of Zn2CdFe.

Cell lengths 2.772, 4.180, 5.518 Å; angles 90.00, 104.42, 90.00 degrees
Fractional positions:
Zn: 0.000 0.000 0.000
Zn: 0.134 0.500 0.268
Cd: 0.755 0.000 0.511
Fe: 0.410 0.500 0.818

Values from the calculation:
As for the formation energy: 0.167 eV/atom. The final energy comes out at -2.814 eV/atom.


A plane-wave DFT calculation with PBE was carried out for a relaxed structure of ZnCd2Fe.

Cell lengths 4.011, 4.011, 19.304 Å; angles 90.00, 90.00, 90.00 degrees
Fractional positions:
Zn: 0.000 0.000 0.000
Zn: 0.000 0.500 0.250
Zn: 0.500 0.000 0.750
Zn: 0.500 0.500 0.500
Cd: 0.247 0.250 0.625
Cd: 0.250 0.747 0.875
Cd: 0.250 0.753 0.375
Cd: 0.253 0.250 0.125
Cd: 0.747 0.750 0.125
Cd: 0.750 0.247 0.375
Cd: 0.750 0.253 0.875
Cd: 0.753 0.750 0.625
Fe: 0.000 0.000 0.500
Fe: 0.000 0.500 0.750
Fe: 0.500 0.000 0.250
Fe: 0.500 0.500 0.000

Values from the calculation:
As for the formation energy: 0.476 eV/atom. The final energy comes out at -2.416 eV/atom.


A plane-wave DFT calculation with PBE was carried out for a relaxed structure of ZnCd2Fe.

Cell lengths 2.884, 2.884, 29.907 Å; angles 90.00, 90.00, 120.00 degrees
Fractional positions:
Zn: 0.000 0.000 0.000
Zn: 0.333 0.667 0.667
Zn: 0.667 0.333 0.333
Cd: 0.000 0.000 0.244
Cd: 0.000 0.000 0.756
Cd: 0.333 0.667 0.423
Cd: 0.333 0.667 0.910
Cd: 0.667 0.333 0.090
Cd: 0.667 0.333 0.577
Fe: 0.000 0.000 0.500
Fe: 0.333 0.667 0.167
Fe: 0.667 0.333 0.833

Values from the calculation:
As for the formation energy: 0.286 eV/atom. The final energy comes out at -2.606 eV/atom.


A plane-wave DFT calculation with PBE was carried out for a relaxed structure of ZnCd2Fe.

Cell lengths 4.062, 4.070, 8.355 Å; angles 90.00, 90.00, 90.00 degrees
Fractional positions:
Zn: 0.000 0.000 0.000
Zn: 0.500 0.500 0.000
Cd: 0.000 0.500 0.262
Cd: 0.000 0.500 0.738
Cd: 0.500 0.000 0.262
Cd: 0.500 0.000 0.738
Fe: 0.000 0.000 0.500
Fe: 0.500 0.500 0.500

Values from the calculation:
As for the formation energy: 0.232 eV/atom. The final energy comes out at -2.660 eV/atom.